(1)
{
  "formula": "ErFeSi2Tc",
  "functional": "PBE",
  "state": "optimized geometry",
  "cell": [[-1.221, -0.378, 3.772], [-1.881, -3.380, -0.948], [5.746, -0.762, -0.320]],
  "species": ["Er", "Fe", "Si", "Si", "Tc"],
  "fractional_positions": [[0.000, 0.000, 0.000], [0.750, 0.250, 0.500], [0.621, 0.621, 0.241], [0.379, 0.379, 0.759], [0.250, 0.750, 0.500]],
  "n_ef_per_ev_atom": 0.77,
  "total_energy_ev_per_atom": -7.49,
  "raw_formation_energy_ev_per_atom": -0.64
}

***

(2)
{
  "formula": "SmEr2Fe9",
  "functional": "PBE",
  "state": "optimized geometry",
  "cell": [[4.884, 0.000, 1.453], [2.226, 4.347, 1.453], [0.108, 0.066, 8.568]],
  "species": ["Sm", "Er", "Er", "Fe", "Fe", "Fe", "Fe", "Fe", "Fe", "Fe", "Fe", "Fe"],
  "fractional_positions": [[0.000, 0.000, 0.000], [0.858, 0.858, 0.427], [0.142, 0.142, 0.573], [0.667, 0.667, 0.998], [0.333, 0.333, 0.002], [0.500, 0.500, 0.500], [0.418, 0.418, 0.248], [0.917, 0.418, 0.248], [0.418, 0.917, 0.248], [0.582, 0.582, 0.752], [0.582, 0.083, 0.752], [0.083, 0.582, 0.752]],
  "n_ef_per_ev_atom": 1.18,
  "total_energy_ev_per_atom": -7.57,
  "formation_enthalpy_0k_ev_per_atom": -0.0693
}

***

(3)
{
  "formula": "SmErFe17",
  "functional": "PBE",
  "state": "optimized geometry",
  "cell": [[6.408, 0.009, 0.008], [0.795, 6.359, 0.008], [0.795, 0.703, 6.320]],
  "species": ["Fe", "Fe", "Fe", "Fe", "Fe", "Fe", "Fe", "Fe", "Fe", "Fe", "Fe", "Fe", "Fe", "Fe", "Fe", "Fe", "Fe", "Sm", "Er"],
  "fractional_positions": [[0.344, 0.344, 0.843], [0.344, 0.843, 0.344], [0.843, 0.344, 0.344], [0.658, 0.658, 0.156], [0.658, 0.156, 0.658], [0.156, 0.658, 0.658], [0.999, 0.999, 0.500], [0.999, 0.500, 0.999], [0.500, 0.999, 0.999], [0.295, 0.706, 0.999], [0.706, 0.999, 0.295], [0.999, 0.295, 0.706], [0.295, 0.999, 0.706], [0.999, 0.706, 0.295], [0.706, 0.295, 0.999], [0.903, 0.903, 0.903], [0.096, 0.096, 0.096], [0.341, 0.341, 0.341], [0.661, 0.661, 0.661]],
  "n_ef_per_ev_atom": 1.05,
  "total_energy_ev_per_atom": -8.06,
  "formation_enthalpy_0k_ev_per_atom": 0.0000
}

***

(4)
{
  "formula": "Sm3ErFe8",
  "functional": "PBE",
  "state": "optimized geometry",
  "cell": [[4.966, 0.000, 1.499], [2.257, 4.424, 1.499], [-0.004, -0.003, 8.989]],
  "species": ["Sm", "Sm", "Sm", "Er", "Fe", "Fe", "Fe", "Fe", "Fe", "Fe", "Fe", "Fe"],
  "fractional_positions": [[0.375, 0.375, 0.875], [0.000, 0.000, 0.001], [0.500, 0.500, 0.499], [0.875, 0.875, 0.375], [0.935, 0.437, 0.191], [0.441, 0.937, 0.684], [0.437, 0.437, 0.191], [0.937, 0.937, 0.684], [0.188, 0.188, 0.436], [0.687, 0.687, 0.939], [0.437, 0.935, 0.191], [0.937, 0.441, 0.684]],
  "n_ef_per_ev_atom": 1.35,
  "total_energy_ev_per_atom": -7.21,
  "formation_enthalpy_0k_ev_per_atom": -0.0128
}

***

(5)
{
  "formula": "SmErFe",
  "functional": "PBE",
  "state": "optimized geometry",
  "cell": [[-6.475, -0.956, 2.119], [1.572, -0.751, -6.701], [1.416, -7.091, 1.127]],
  "species": ["Fe", "Fe", "Fe", "Fe", "Er", "Er", "Er", "Er", "Sm", "Sm", "Sm", "Sm"],
  "fractional_positions": [[0.591, 0.182, 0.542], [0.909, 0.818, 0.042], [0.409, 0.818, 0.458], [0.091, 0.182, 0.958], [0.292, 0.084, 0.250], [0.208, 0.916, 0.750], [0.708, 0.916, 0.750], [0.792, 0.084, 0.250], [0.802, 0.604, 0.387], [0.698, 0.396, 0.887], [0.198, 0.396, 0.613], [0.302, 0.604, 0.113]],
  "n_ef_per_ev_atom": 1.17,
  "total_energy_ev_per_atom": -5.86,
  "e_above_lowest_polymorph_kj_per_mol_atoms": 0.0,
  "formation_enthalpy_0k_ev_per_atom": 0.0525
}

***

(6)
{
  "formula": "SmErFe",
  "functional": "PBE",
  "state": "optimized geometry",
  "cell": [[3.346, 0.000, 0.000], [0.000, 3.346, 0.000], [-1.673, -1.673, 6.456]],
  "species": ["Fe", "Sm", "Er"],
  "fractional_positions": [[0.664, 0.664, 0.327], [0.294, 0.294, 0.587], [0.043, 0.043, 0.086]],
  "n_ef_per_ev_atom": 0.65,
  "total_energy_ev_per_atom": -5.83,
  "e_above_lowest_polymorph_kj_per_mol_atoms": 3.2,
  "formation_enthalpy_0k_ev_per_atom": 0.0859
}

***

(7)
{
  "formula": "Sm2Er5Fe2",
  "functional": "PBE",
  "state": "optimized geometry",
  "cell": [[0.154, -6.973, 0.193], [0.373, -0.184, -6.941], [10.010, -3.252, 0.624]],
  "species": ["Sm", "Sm", "Sm", "Sm", "Er", "Er", "Er", "Er", "Er", "Er", "Er", "Er", "Er", "Er", "Fe", "Fe", "Fe", "Fe"],
  "fractional_positions": [[0.232, 0.000, 0.536], [0.732, 0.500, 0.536], [0.768, 0.000, 0.464], [0.268, 0.500, 0.464], [0.000, 0.000, 0.000], [0.500, 0.500, 0.000], [0.425, 0.178, 0.788], [0.787, 0.822, 0.788], [0.287, 0.678, 0.788], [0.925, 0.322, 0.788], [0.575, 0.822, 0.212], [0.213, 0.178, 0.212], [0.713, 0.322, 0.212], [0.075, 0.678, 0.212], [0.110, 0.393, 0.000], [0.890, 0.607, 0.000], [0.390, 0.893, 0.000], [0.610, 0.107, 0.000]],
  "n_ef_per_ev_atom": 1.40,
  "total_energy_ev_per_atom": -5.44,
  "formation_enthalpy_0k_ev_per_atom": 0.0255
}

***

(8)
{
  "formula": "Sm3ErFe",
  "functional": "PBE",
  "state": "optimized geometry",
  "cell": [[5.336, 0.000, 0.000], [0.000, 5.336, 0.000], [0.000, 0.000, 5.336]],
  "species": ["Fe", "Sm", "Sm", "Sm", "Er"],
  "fractional_positions": [[0.000, 0.000, 0.000], [0.000, 0.500, 0.000], [0.000, 0.000, 0.500], [0.500, 0.000, 0.000], [0.500, 0.500, 0.500]],
  "n_ef_per_ev_atom": 1.77,
  "total_energy_ev_per_atom": -5.24,
  "formation_enthalpy_0k_ev_per_atom": 0.1920
}

***

(9)
{
  "formula": "Sm2ErFe9",
  "functional": "PBE",
  "state": "optimized geometry",
  "cell": [[4.908, 0.000, 1.461], [2.237, 4.369, 1.461], [0.075, 0.046, 8.725]],
  "species": ["Sm", "Sm", "Er", "Fe", "Fe", "Fe", "Fe", "Fe", "Fe", "Fe", "Fe", "Fe"],
  "fractional_positions": [[0.859, 0.859, 0.424], [0.141, 0.141, 0.576], [0.000, 0.000, 0.000], [0.667, 0.667, 0.998], [0.333, 0.333, 0.002], [0.500, 0.500, 0.500], [0.422, 0.422, 0.239], [0.918, 0.422, 0.239], [0.422, 0.918, 0.239], [0.578, 0.578, 0.761], [0.578, 0.082, 0.761], [0.082, 0.578, 0.761]],
  "n_ef_per_ev_atom": 1.14,
  "total_energy_ev_per_atom": -7.54,
  "formation_enthalpy_0k_ev_per_atom": -0.0253
}

***

(10)
{
  "formula": "SmEr2Fe",
  "functional": "PBE",
  "state": "optimized geometry",
  "cell": [[-1.333, -2.956, -1.412], [0.154, -3.043, 1.796], [-9.052, -0.037, 4.194]],
  "species": ["Fe", "Sm", "Er", "Er"],
  "fractional_positions": [[0.000, 0.000, 0.000], [0.500, 0.500, 0.500], [0.272, 0.272, 0.185], [0.728, 0.728, 0.815]],
  "n_ef_per_ev_atom": 1.08,
  "total_energy_ev_per_atom": -5.39,
  "e_above_lowest_polymorph_kj_per_mol_atoms": 13.1,
  "formation_enthalpy_0k_ev_per_atom": 0.1855
}

***

(11)
{
  "formula": "SmEr3Fe8",
  "functional": "PBE",
  "state": "optimized geometry",
  "cell": [[-3.975, 2.244, -2.344], [-1.231, -1.329, -4.801], [-6.834, -5.641, 0.571]],
  "species": ["Sm", "Er", "Er", "Er", "Fe", "Fe", "Fe", "Fe", "Fe", "Fe", "Fe", "Fe"],
  "fractional_positions": [[0.875, 0.875, 0.375], [0.375, 0.375, 0.875], [0.000, 0.000, 0.999], [0.500, 0.500, 0.501], [0.940, 0.438, 0.184], [0.435, 0.937, 0.691], [0.438, 0.438, 0.184], [0.937, 0.937, 0.691], [0.187, 0.187, 0.439], [0.688, 0.688, 0.936], [0.438, 0.940, 0.184], [0.937, 0.435, 0.691]],
  "n_ef_per_ev_atom": 1.37,
  "total_energy_ev_per_atom": -7.26,
  "formation_enthalpy_0k_ev_per_atom": -0.0845
}

***

(12)
{
  "formula": "SmErFe10",
  "functional": "PBE",
  "state": "optimized geometry",
  "cell": [[3.949, 0.000, 0.000], [0.000, 5.018, 0.000], [0.000, 0.000, 8.659]],
  "species": ["Sm", "Er", "Fe", "Fe", "Fe", "Fe", "Fe", "Fe", "Fe", "Fe", "Fe", "Fe"],
  "fractional_positions": [[0.000, 0.000, 0.000], [0.000, 0.500, 0.500], [0.000, 0.000, 0.337], [0.000, 0.500, 0.830], [0.000, 0.500, 0.170], [0.000, 0.000, 0.663], [0.500, 0.000, 0.500], [0.500, 0.500, 0.000], [0.500, 0.252, 0.254], [0.500, 0.748, 0.746], [0.500, 0.748, 0.254], [0.500, 0.252, 0.746]],
  "n_ef_per_ev_atom": 0.95,
  "total_energy_ev_per_atom": -7.85,
  "formation_enthalpy_0k_ev_per_atom": -0.0289
}

***

(13)
{
  "formula": "SmEr2Fe",
  "functional": "PBE",
  "state": "optimized geometry",
  "cell": [[-1.557, 1.940, -2.227], [-1.226, -2.715, -1.507], [-7.245, 0.310, 5.336]],
  "species": ["Fe", "Sm", "Er", "Er"],
  "fractional_positions": [[0.500, 0.500, 0.000], [0.500, 0.500, 0.500], [0.000, 0.000, 0.824], [0.000, 0.000, 0.176]],
  "n_ef_per_ev_atom": 0.69,
  "total_energy_ev_per_atom": -5.53,
  "e_above_lowest_polymorph_kj_per_mol_atoms": 0.0,
  "formation_enthalpy_0k_ev_per_atom": 0.0495
}

***

(14)
{
  "formula": "SmErZnFe",
  "functional": "PBE",
  "state": "optimized geometry",
  "cell": [[-0.487, -2.129, -4.428], [-1.508, -4.690, -0.332], [-4.496, -1.028, -1.764]],
  "species": ["Zn", "Fe", "Sm", "Er"],
  "fractional_positions": [[0.000, 0.000, 0.000], [0.500, 0.500, 0.500], [0.750, 0.750, 0.750], [0.250, 0.250, 0.250]],
  "n_ef_per_ev_atom": 1.09,
  "total_energy_ev_per_atom": -4.81,
  "formation_enthalpy_0k_ev_per_atom": -0.0524
}

***

(15)
{
  "formula": "Er2FeSn",
  "functional": "PBE",
  "state": "optimized geometry",
  "cell": [[-0.421, -1.115, -3.270], [2.703, -0.024, -2.192], [2.996, -9.608, 1.038]],
  "species": ["Fe", "Sn", "Er", "Er"],
  "fractional_positions": [[0.500, 0.500, 0.500], [0.000, 0.000, 0.000], [0.106, 0.106, 0.681], [0.894, 0.894, 0.319]],
  "n_ef_per_ev_atom": 0.82,
  "total_energy_ev_per_atom": -5.21,
  "formation_enthalpy_0k_ev_per_atom": 0.1840
}

***

(16)
{
  "formula": "Er4FeSn",
  "functional": "PBE",
  "state": "optimized geometry",
  "cell": [[-3.190, -0.319, 4.985], [8.464, 0.275, 1.828], [-2.903, 6.548, -3.158]],
  "species": ["Er", "Er", "Er", "Er", "Er", "Er", "Er", "Er", "Fe", "Fe", "Sn", "Sn"],
  "fractional_positions": [[0.077, 0.207, 0.856], [0.782, 0.730, 0.676], [0.279, 0.649, 0.856], [0.394, 0.946, 0.676], [0.606, 0.054, 0.324], [0.721, 0.351, 0.144], [0.218, 0.270, 0.324], [0.923, 0.793, 0.144], [0.250, 0.000, 0.000], [0.750, 0.000, 0.000], [0.379, 0.629, 0.258], [0.621, 0.371, 0.742]],
  "n_ef_per_ev_atom": 0.85,
  "total_energy_ev_per_atom": -5.43,
  "formation_enthalpy_0k_ev_per_atom": -0.3136
}

***

(17)
{
  "formula": "Er12FeSn6",
  "functional": "PBE",
  "state": "optimized geometry",
  "cell": [[-1.244, 6.689, -5.071], [-4.639, -5.766, -4.151], [-5.442, 1.942, 6.214]],
  "species": ["Er", "Er", "Er", "Er", "Er", "Er", "Er", "Er", "Er", "Er", "Er", "Er", "Fe", "Sn", "Sn", "Sn", "Sn", "Sn", "Sn"],
  "fractional_positions": [[0.802, 0.576, 0.444], [0.444, 0.802, 0.576], [0.576, 0.444, 0.802], [0.198, 0.424, 0.556], [0.556, 0.198, 0.424], [0.424, 0.556, 0.198], [0.053, 0.989, 0.307], [0.011, 0.693, 0.947], [0.693, 0.947, 0.011], [0.947, 0.011, 0.693], [0.989, 0.307, 0.053], [0.307, 0.053, 0.989], [0.000, 0.000, 0.000], [0.688, 0.879, 0.357], [0.643, 0.312, 0.121], [0.121, 0.643, 0.312], [0.312, 0.121, 0.643], [0.357, 0.688, 0.879], [0.879, 0.357, 0.688]],
  "n_ef_per_ev_atom": 0.90,
  "total_energy_ev_per_atom": -4.92,
  "formation_enthalpy_0k_ev_per_atom": -0.3280
}

***

(18)
{
  "formula": "ErFeSn",
  "functional": "PBE",
  "state": "optimized geometry",
  "cell": [[-0.943, 1.633, -3.353], [-3.695, 0.279, -1.032], [-2.171, 10.140, 3.342]],
  "species": ["Er", "Er", "Sn", "Sn", "Fe", "Fe"],
  "fractional_positions": [[0.559, 0.559, 0.323], [0.441, 0.441, 0.677], [0.302, 0.302, 0.093], [0.698, 0.698, 0.907], [0.835, 0.835, 0.496], [0.165, 0.165, 0.504]],
  "n_ef_per_ev_atom": 0.94,
  "total_energy_ev_per_atom": -5.87,
  "formation_enthalpy_0k_ev_per_atom": -0.1926
}

***

(19)
{
  "formula": "ErFe6Sn6",
  "functional": "PBE",
  "state": "optimized geometry",
  "cell": [[19.209, -0.004, 0.000], [-17.123, 8.707, 0.000], [0.000, 0.000, 5.409]],
  "species": ["Er", "Er", "Er", "Er", "Fe", "Fe", "Fe", "Fe", "Fe", "Fe", "Fe", "Fe", "Fe", "Fe", "Fe", "Fe", "Fe", "Fe", "Fe", "Fe", "Fe", "Fe", "Fe", "Fe", "Fe", "Fe", "Fe", "Fe", "Sn", "Sn", "Sn", "Sn", "Sn", "Sn", "Sn", "Sn", "Sn", "Sn", "Sn", "Sn", "Sn", "Sn", "Sn", "Sn", "Sn", "Sn", "Sn", "Sn", "Sn", "Sn", "Sn", "Sn"],
  "fractional_positions": [[0.190, 0.810, 0.250], [0.810, 0.190, 0.750], [0.937, 0.063, 0.250], [0.063, 0.937, 0.750], [0.500, 0.000, 0.500], [0.000, 0.500, 0.500], [0.500, 0.000, 0.000], [0.000, 0.500, 0.000], [0.754, 0.754, 0.500], [0.754, 0.754, 0.000], [0.246, 0.246, 0.500], [0.246, 0.246, 0.000], [0.565, 0.941, 0.250], [0.941, 0.565, 0.750], [0.435, 0.059, 0.750], [0.059, 0.435, 0.250], [0.309, 0.183, 0.250], [0.183, 0.309, 0.750], [0.691, 0.817, 0.750], [0.817, 0.691, 0.250], [0.629, 0.879, 0.499], [0.879, 0.629, 0.501], [0.629, 0.879, 0.001], [0.879, 0.629, 0.999], [0.371, 0.121, 0.501], [0.121, 0.371, 0.499], [0.371, 0.121, 0.999], [0.121, 0.371, 0.001], [0.769, 0.231, 0.250], [0.231, 0.769, 0.750], [0.273, 0.727, 0.250], [0.727, 0.273, 0.750], [0.853, 0.147, 0.250], [0.147, 0.853, 0.750], [0.355, 0.645, 0.250], [0.645, 0.355, 0.750], [0.105, 0.895, 0.250], [0.895, 0.105, 0.750], [0.604, 0.396, 0.250], [0.396, 0.604, 0.750], [0.521, 0.479, 0.250], [0.479, 0.521, 0.750], [0.021, 0.979, 0.250], [0.979, 0.021, 0.750], [0.850, 0.476, 0.250], [0.476, 0.850, 0.750], [0.150, 0.524, 0.750], [0.524, 0.150, 0.250], [0.601, 0.725, 0.250], [0.725, 0.601, 0.750], [0.399, 0.275, 0.750], [0.275, 0.399, 0.250]],
  "n_ef_per_ev_atom": 0.47,
  "total_energy_ev_per_atom": -6.22,
  "formation_enthalpy_0k_ev_per_atom": -0.1144
}

***

(20)
{
  "formula": "Er5Fe2Sn",
  "functional": "PBE",
  "state": "optimized geometry",
  "cell": [[6.564, 0.000, -3.099], [-1.463, 6.399, -3.099], [0.239, 0.300, 9.008]],
  "species": ["Er", "Er", "Er", "Er", "Er", "Er", "Er", "Er", "Er", "Er", "Fe", "Fe", "Fe", "Fe", "Sn", "Sn"],
  "fractional_positions": [[0.548, 0.692, 0.740], [0.808, 0.952, 0.260], [0.000, 0.000, 0.000], [0.500, 0.500, 0.000], [0.192, 0.048, 0.740], [0.692, 0.192, 0.740], [0.048, 0.548, 0.740], [0.308, 0.808, 0.260], [0.952, 0.452, 0.260], [0.452, 0.308, 0.260], [0.107, 0.393, 0.000], [0.607, 0.107, 0.000], [0.393, 0.893, 0.000], [0.893, 0.607, 0.000], [0.750, 0.750, 0.500], [0.250, 0.250, 0.500]],
  "n_ef_per_ev_atom": 0.86,
  "total_energy_ev_per_atom": -5.71,
  "formation_enthalpy_0k_ev_per_atom": -0.2411
}